Here is crystalline ZrHgBi at its relaxed geometry from Alexandria. Energies are from GGA-PBE.

The structure belongs to space group Pm (No. 6); the cell edges are 3.285, 5.129 and 9.540 Å and the angles 90.00°, 94.17° and 90.00°. The inequivalent atoms are Zr at (0.000, 0.000, 0.000), Zr at (0.085, 0.500, 0.796), Hg at (0.577, 0.500, 0.072), Hg at (0.912, 0.500, 0.474), Bi at (0.506, 0.000, 0.707) and Bi at (0.557, 0.000, 0.278).

As for the polymorph energy (0 for the lowest one): 110.6 meV/atom. The formation energy comes out at -0.12 eV/atom.


Here is crystalline CuRu2Br at its relaxed geometry from Alexandria. Energies are from GGA-PBE.

The structure belongs to space group R3m (No. 160, hexagonal axes); the cell edges are 2.8805, 2.8805 and 26.2828 Å and the angles 90.00°, 90.00° and 120.00°. The inequivalent atoms are Cu at (0.0000, 0.0000, 0.0000), Ru at (0.0000, 0.0000, 0.4872), Ru at (0.0000, 0.0000, 0.7465) and Br at (0.0000, 0.0000, 0.2427).

As for the polymorph energy (0 for the lowest one): 102.1 meV/atom.


Here is crystalline Ta2ZnOs at its relaxed geometry from Alexandria. Energies are from GGA-PBE.

The structure belongs to space group P4mm (No. 99); the cell edges are 3.171, 3.171 and 6.510 Å and the angles 90.00°, 90.00° and 90.00°. The inequivalent atoms are Ta at (0.000, 0.000, 0.000), Ta at (0.500, 0.500, 0.292), Zn at (0.000, 0.000, 0.547) and Os at (0.500, 0.500, 0.775).

The formation energy comes out at -0.05 eV/atom.


Here is crystalline Pa6GeTe3Se2 at its relaxed geometry from Alexandria. Energies are from GGA-PBE.

The structure belongs to space group C2/m (No. 12); the cell edges are 7.042, 12.227 and 7.729 Å and the angles 90.00°, 107.77° and 90.00°. The inequivalent atoms are Pa at (0.237, 0.000, 0.221), Pa at (0.243, 0.332, 0.224), Ge at (0.000, 0.500, 0.000), Te at (0.000, 0.000, 0.500), Te at (0.000, 0.335, 0.500) and Se at (0.000, 0.168, 0.000).


Here is crystalline Zr2VTe4 at its relaxed geometry from Alexandria. Energies are from GGA-PBE.

The structure belongs to space group C2/m (No. 12); the cell edges are 14.943, 3.963 and 6.945 Å and the angles 90.00°, 117.14° and 90.00°. The inequivalent atoms are Zr at (0.250, 0.000, 0.224), V at (0.000, 0.500, 0.500), Te at (0.107, 0.500, 0.946) and Te at (0.119, 0.000, 0.451).


Here is crystalline CsDyCd2F8 at its relaxed geometry from Alexandria. Energies are from GGA-PBE.

The structure belongs to space group P-1 (No. 2); the cell edges are 5.422, 5.611 and 8.093 Å and the angles 82.59°, 83.57° and 81.48°. The inequivalent atoms are Cs at (0.000, 0.000, 0.000), Dy at (0.000, 0.000, 0.500), Cd at (0.456, 0.457, 0.228), F at (0.189, 0.765, 0.701), F at (0.206, 0.778, 0.311), F at (0.286, 0.243, 0.448) and F at (0.371, 0.318, 0.995).


Here is crystalline LaGaSbMo2 at its relaxed geometry from Alexandria. Energies are from GGA-PBE.

The structure belongs to space group P4/mmm (No. 123); the cell edges are 4.779, 4.779 and 5.314 Å and the angles 90.00°, 90.00° and 90.00°. The inequivalent atoms are La at (0.000, 0.000, 0.000), Ga at (0.500, 0.500, 0.500), Sb at (0.500, 0.500, 0.000) and Mo at (0.000, 0.500, 0.500).


Here is crystalline RbPtSe2N at its relaxed geometry from Alexandria. Energies are from GGA-PBE.

The structure belongs to space group P4/mmm (No. 123); the cell edges are 5.647, 5.647 and 3.690 Å and the angles 90.00°, 90.00° and 90.00°. The inequivalent atoms are Rb at (0.000, 0.000, 0.000), Pt at (0.500, 0.500, 0.500), Se at (0.000, 0.500, 0.500) and N at (0.500, 0.500, 0.000).

As for the polymorph energy (0 for the lowest one): 0.0 meV/atom.


Here is crystalline SmPaBr at its relaxed geometry from Alexandria. Energies are from GGA-PBE.

The structure belongs to space group P-1 (No. 2); the cell edges are 3.557, 6.355 and 8.093 Å and the angles 100.00°, 98.20° and 95.35°. The inequivalent atoms are Sm at (0.123, 0.404, 0.194), Pa at (0.378, 0.081, 0.873) and Br at (0.243, 0.272, 0.563).


Here is crystalline OsINO2 at its relaxed geometry from Alexandria. Energies are from GGA-PBE.

The structure belongs to space group P4/mmm (No. 123); the cell edges are 3.853, 3.853 and 4.209 Å and the angles 90.00°, 90.00° and 90.00°. The inequivalent atoms are Os at (0.000, 0.000, 0.000), I at (0.500, 0.500, 0.000), N at (0.500, 0.500, 0.500) and O at (0.000, 0.500, 0.500).


Here is crystalline TbHoSc2 at its relaxed geometry from Alexandria. Energies are from GGA-PBE.

The structure belongs to space group P4/mmm (No. 123); the cell edges are 3.457, 3.457 and 9.318 Å and the angles 90.00°, 90.00° and 90.00°. The inequivalent atoms are Tb at (0.000, 0.000, 0.000), Ho at (0.000, 0.000, 0.500) and Sc at (0.500, 0.500, 0.251).

As for the polymorph energy (0 for the lowest one): 0.0 meV/atom. The formation energy comes out at 0.05 eV/atom.


Here is crystalline SmAl3Au at its relaxed geometry from Alexandria. Energies are from GGA-PBE.

The structure belongs to space group I4mm (No. 107); the cell edges are 4.274, 4.274 and 11.047 Å and the angles 90.00°, 90.00° and 90.00°. The inequivalent atoms are Sm at (0.000, 0.000, 0.000), Al at (0.000, 0.000, 0.590), Al at (0.000, 0.500, 0.238) and Au at (0.000, 0.000, 0.366).

As for the polymorph energy (0 for the lowest one): 0.0 meV/atom. The formation energy comes out at -0.62 eV/atom.


Here is crystalline FeTeOsI2 at its relaxed geometry from Alexandria. Energies are from GGA-PBE.

The structure belongs to space group P4/mmm (No. 123); the cell edges are 5.113, 5.113 and 4.638 Å and the angles 90.00°, 90.00° and 90.00°. The inequivalent atoms are Fe at (0.000, 0.000, 0.000), Te at (0.500, 0.500, 0.500), Os at (0.000, 0.000, 0.500) and I at (0.000, 0.500, 0.000).

As for the polymorph energy (0 for the lowest one): 174.8 meV/atom.


Here is crystalline LiZnIn2Br5 at its relaxed geometry from Alexandria. Energies are from GGA-PBE.

The structure belongs to space group Cmc2_1 (No. 36); the cell edges are 4.054, 19.832 and 14.020 Å and the angles 90.00°, 90.00° and 90.00°. The inequivalent atoms are Li at (0.000, 0.213, 0.000), Zn at (0.000, 0.437, 0.395), In at (0.000, 0.135, 0.289), In at (0.000, 0.139, 0.643), Br at (0.000, 0.040, 0.995), Br at (0.000, 0.296, 0.627), Br at (0.000, 0.317, 0.362), Br at (0.000, 0.343, 0.976) and Br at (0.000, 0.497, 0.751).


Here is crystalline BaCu2Cl at its relaxed geometry from Alexandria. Energies are from GGA-PBE.

The structure belongs to space group I-42d (No. 122); the cell edges are 9.014, 9.014 and 5.661 Å and the angles 90.00°, 90.00° and 90.00°. The inequivalent atoms are Ba at (0.000, 0.000, 0.000), Cu at (0.231, 0.250, 0.625) and Cl at (0.000, 0.000, 0.500).

As for the polymorph energy (0 for the lowest one): 347.1 meV/atom.


Here is crystalline Pm6Pr2Sc at its relaxed geometry from Alexandria. Energies are from GGA-PBE.

The structure belongs to space group P-6m2 (No. 187); the cell edges are 3.6264, 3.6264 and 26.8997 Å and the angles 90.00°, 90.00° and 120.00°. The inequivalent atoms are Pm at (0.0000, 0.0000, 0.0635), Pm at (0.0000, 0.0000, 0.2884), Pm at (0.3333, 0.6667, 0.3993), Pr at (0.3333, 0.6667, 0.1731) and Sc at (0.0000, 0.0000, 0.5000).

As for the polymorph energy (0 for the lowest one): 0.0 meV/atom. The formation energy comes out at 0.08 eV/atom.


Here is crystalline MgTlCdBi at its relaxed geometry from Alexandria. Energies are from GGA-PBE.

The structure belongs to space group Cm (No. 8); the cell edges are 4.872, 4.869 and 9.130 Å and the angles 90.00°, 90.02° and 90.00°. The inequivalent atoms are Mg at (0.000, 0.000, 0.000), Tl at (0.001, 0.000, 0.545), Cd at (0.000, 0.500, 0.800) and Bi at (0.001, 0.500, 0.239).

As for the polymorph energy (0 for the lowest one): 0.0 meV/atom. The formation energy comes out at -0.06 eV/atom.


Here is crystalline CoNiPt at its relaxed geometry from Alexandria. Energies are from GGA-PBE.

The structure belongs to space group P3m1 (No. 156); the cell edges are 2.6593, 2.6593 and 6.3189 Å and the angles 90.00°, 90.00° and 120.00°. The inequivalent atoms are Co at (0.0000, 0.0000, 0.0000), Ni at (0.6667, 0.3333, 0.3031) and Pt at (0.3333, 0.6667, 0.6535).

As for the polymorph energy (0 for the lowest one): 87.4 meV/atom. The formation energy comes out at 0.00 eV/atom.


Here is crystalline ReB at its relaxed geometry from Alexandria. Energies are from GGA-PBE.

The structure belongs to space group P4/nmm (No. 129, origin choice 2); the cell edges are 2.856, 2.856 and 5.325 Å and the angles 90.00°, 90.00° and 90.00°. The inequivalent atoms are Re at (0.250, 0.250, 0.169) and B at (0.250, 0.750, 0.500).

The formation energy comes out at -0.14 eV/atom.


Here is crystalline AlFeSn at its relaxed geometry from Alexandria. Energies are from GGA-PBE.

The structure belongs to space group P-3m1 (No. 164); the cell edges are 4.1192, 4.1192 and 7.5053 Å and the angles 90.00°, 90.00° and 120.00°. The inequivalent atoms are Al at (0.3333, 0.6667, 0.4088), Fe at (0.0000, 0.0000, 0.3578) and Sn at (0.3333, 0.6667, 0.8274).

The formation energy comes out at 0.08 eV/atom.


Here is crystalline NaSrCa2H at its relaxed geometry from Alexandria. Energies are from GGA-PBE.

The structure belongs to space group P4/mmm (No. 123); the cell edges are 5.222, 5.222 and 6.043 Å and the angles 90.00°, 90.00° and 90.00°. The inequivalent atoms are Na at (0.000, 0.000, 0.000), Sr at (0.500, 0.500, 0.000), Ca at (0.000, 0.500, 0.500) and H at (0.000, 0.000, 0.500).

As for the polymorph energy (0 for the lowest one): 58.5 meV/atom.


Here is crystalline CePr3Er8 at its relaxed geometry from Alexandria. Energies are from GGA-PBE.

The structure belongs to space group I-42m (No. 121); the cell edges are 8.717, 8.717 and 11.273 Å and the angles 90.00°, 90.00° and 90.00°. The inequivalent atoms are Ce at (0.000, 0.000, 0.000), Pr at (0.000, 0.000, 0.500), Pr at (0.000, 0.500, 0.250), Er at (0.125, 0.125, 0.234) and Er at (0.231, 0.231, 0.968).

The formation energy comes out at 0.60 eV/atom.


Here is crystalline DyPaSi2O8 at its relaxed geometry from Alexandria. Energies are from GGA-PBE.

The structure belongs to space group I-4m2 (No. 119); the cell edges are 6.973, 6.973 and 6.204 Å and the angles 90.00°, 90.00° and 90.00°. The inequivalent atoms are Dy at (0.000, 0.000, 0.000), Pa at (0.000, 0.500, 0.750), Si at (0.000, 0.000, 0.500), Si at (0.000, 0.500, 0.250), O at (0.000, 0.183, 0.668) and O at (0.000, 0.323, 0.075).


Here is crystalline Pm4Dy3Tm8 at its relaxed geometry from Alexandria. Energies are from GGA-PBE.

The structure belongs to space group R-3m (No. 166, hexagonal axes); the cell edges are 6.9049, 6.9049 and 35.1336 Å and the angles 90.00°, 90.00° and 120.00°. The inequivalent atoms are Pm at (0.0000, 0.0000, 0.0000), Pm at (0.0000, 0.0000, 0.1634), Pm at (0.0000, 0.0000, 0.5000), Dy at (0.0000, 0.5000, 0.0000), Tm at (0.0000, 0.0000, 0.2552) and Tm at (0.0018, 0.5009, 0.2509).

The formation energy comes out at 0.13 eV/atom.


Here is crystalline GaHg2WI at its relaxed geometry from Alexandria. Energies are from GGA-PBE.

The structure belongs to space group P4/mmm (No. 123); the cell edges are 5.152, 5.152 and 5.985 Å and the angles 90.00°, 90.00° and 90.00°. The inequivalent atoms are Ga at (0.000, 0.000, 0.000), Hg at (0.000, 0.500, 0.000), W at (0.500, 0.500, 0.500) and I at (0.000, 0.000, 0.500).


| no. | total DFT energy (no corrections) (eV per atom) |
| --- | --- |
| 1 | -4.368 |
| 2 | -5.532 |
| 3 | -9.107 |
| 4 | -7.309 |
| 5 | -6.270 |
| 6 | -4.741 |
| 7 | -5.922 |
| 8 | -4.282 |
| 9 | -5.731 |
| 10 | -4.271 |
| 11 | -5.417 |
| 12 | -4.462 |
| 13 | -3.858 |
| 14 | -2.810 |
| 15 | -3.194 |
| 16 | -4.857 |
| 17 | -2.247 |
| 18 | -6.308 |
| 19 | -9.700 |
| 20 | -5.320 |
| 21 | -2.085 |
| 22 | -4.131 |
| 23 | -8.638 |
| 24 | -4.446 |
| 25 | -2.323 |